K2ScTl | Alexandria | PBE | optimized geometry; calculated density = 2.66 g/cm3; energy relative to the elements = 1.80 eV per formula unit; total energy = -9.09 eV/f.u.; ΔE to the lowest computed polymorph = 0.359 eV per atom; M_tot = 0.2 μB per formula unit; V = 51.053 Å³ per atom
1.0
-5.994 5.994 2.842
5.994 -5.994 2.842
5.994 5.994 -2.842
K Sc Tl
4 2 2
Cartesian
8.991 1.578 -0.710 K
1.578 2.997 0.710 K
-2.997 4.416 2.131 K
4.416 2.997 3.552 K
5.994 0.000 1.421 Sc
0.000 0.000 2.842 Sc
0.000 0.000 0.000 Tl
0.000 5.994 1.421 Tl